Entry 1:
La14InHg: optimized geometry, GGA-PBE.

Lattice parameters (Å, degrees): 7.2207 7.2207 10.4945 90.00 90.00 90.00
With the nearest neighbours (Å) after each atom.
Element x y z (fractional)
La 0.3750 0.8750 0.5000  8 La 3.61, 2 In 3.61, 2 Hg 3.61
La 0.8750 0.8750 0.0000  12 La 3.61-3.71
La 0.6253 0.1247 0.2573  1 In 3.60, 10 La 3.61-3.72, 1 Hg 3.61
La 0.8750 0.3750 0.5000  8 La 3.61, 2 In 3.61, 2 Hg 3.61
La 0.1247 0.6253 0.2573  1 In 3.60, 10 La 3.61-3.72, 1 Hg 3.61
La 0.1247 0.1247 0.2573  1 In 3.60, 10 La 3.61-3.72, 1 Hg 3.61
La 0.6253 0.6253 0.7427  1 In 3.60, 10 La 3.61-3.72, 1 Hg 3.61
La 0.1247 0.6253 0.7427  1 In 3.60, 10 La 3.61-3.72, 1 Hg 3.61
La 0.3750 0.8750 0.0000  12 La 3.61-3.72
La 0.1247 0.1247 0.7427  1 In 3.60, 10 La 3.61-3.72, 1 Hg 3.61
La 0.6253 0.6253 0.2573  1 In 3.60, 10 La 3.61-3.72, 1 Hg 3.61
La 0.8750 0.3750 0.0000  12 La 3.61-3.72
La 0.6253 0.1247 0.7427  1 In 3.60, 10 La 3.61-3.72, 1 Hg 3.61
La 0.3750 0.3750 0.0000  12 La 3.61-3.72
In 0.8750 0.8750 0.5000  12 La 3.60-3.61
Hg 0.3750 0.3750 0.5000  12 La 3.61

Symmetry: P4/mmm, No. 123
Energy of formation from the pure elements: -0.108 eV per atom
Size of the total moment: 0.0 μB per formula unit
V: 34.2 Å³ per atom

Entry 2:
Rb2CaHgBr6: optimized geometry, GGA-PBE.

Lattice parameters (Å, degrees): 7.8367 8.0860 11.1861 90.00 90.09 90.00
With the nearest neighbours (Å) after each atom.
Element x y z (fractional)
Br 0.2959 0.7019 0.0411  1 Hg 2.87, 1 Ca 2.93
Br 0.9171 0.5128 0.2464  1 Hg 2.83, 1 Ca 2.91
Br 0.7959 0.7981 0.5411  1 Hg 2.87, 1 Ca 2.93
Br 0.0829 0.4872 0.7536  1 Hg 2.83, 1 Ca 2.91
Br 0.2041 0.2019 0.4589  1 Hg 2.87, 1 Ca 2.93
Br 0.4171 0.9872 0.7464  1 Hg 2.83, 1 Ca 2.91
Br 0.5829 0.0128 0.2536  1 Hg 2.83, 1 Ca 2.91
Br 0.7041 0.2981 0.9589  1 Hg 2.87, 1 Ca 2.93
Br 0.7991 0.7950 0.9585  1 Hg 2.90, 1 Ca 2.91
Br 0.2009 0.2050 0.0415  1 Hg 2.90, 1 Ca 2.91
Br 0.2991 0.7050 0.4585  1 Hg 2.90, 1 Ca 2.91
Br 0.7009 0.2950 0.5415  1 Hg 2.90, 1 Ca 2.91
Hg 0.5000 0.0000 0.5000  6 Br 2.83-2.90
Hg 0.0000 0.5000 0.0000  6 Br 2.83-2.90
Ca 0.5000 0.0000 0.0000  6 Br 2.91-2.93
Ca 0.0000 0.5000 0.5000  6 Br 2.91-2.93
Rb 0.4798 0.4352 0.2512  8 Br 3.48-3.88
Rb 0.9798 0.0648 0.7512  8 Br 3.48-3.88
Rb 0.0202 0.9352 0.2488  8 Br 3.48-3.88
Rb 0.5202 0.5648 0.7488  8 Br 3.48-3.88

Symmetry: P2_1/c, No. 14
Distance to the lowest polymorph of the same formula: 0 meV/atom
Size of the total moment: 0.0 μB per formula unit
Uncorrected formation energy: -1.433 eV/atom
V: 35.4 Å³ per atom

Entry 3:
Er3Hg3Pb: optimized geometry, GGA-PBE.

Lattice parameters (Å, degrees): 4.9826 9.1822 9.1822 120.00 90.00 90.00
With the nearest neighbours (Å) after each atom.
Element x y z (fractional)
Pb 0.2500 0.6667 0.3333  9 Er 3.26-3.58, 3 Hg 3.54
Pb 0.7500 0.3333 0.6667  9 Er 3.26-3.58, 3 Hg 3.54
Er 0.2500 0.5572 0.9003  4 Hg 3.03-3.36, 2 Pb 3.26
Er 0.2500 0.3431 0.4428  4 Hg 3.03-3.36, 2 Pb 3.26
Er 0.7500 0.6569 0.5572  4 Hg 3.03-3.36, 2 Pb 3.26
Er 0.2500 0.0997 0.6569  4 Hg 3.03-3.36, 2 Pb 3.26
Er 0.7500 0.9003 0.3431  4 Hg 3.03-3.36, 2 Pb 3.26
Er 0.7500 0.4428 0.0997  4 Hg 3.03-3.36, 2 Pb 3.26
Hg 0.7500 0.7684 0.9662  4 Er 3.03-3.36, 4 Hg 3.19
Hg 0.2500 0.9662 0.1978  4 Er 3.03-3.36, 4 Hg 3.19
Hg 0.7500 0.1978 0.2316  4 Er 3.03-3.36, 4 Hg 3.19
Hg 0.2500 0.8022 0.7684  4 Er 3.03-3.36, 4 Hg 3.19
Hg 0.7500 0.0338 0.8022  4 Er 3.03-3.36, 4 Hg 3.19
Hg 0.2500 0.2316 0.0338  4 Er 3.03-3.36, 4 Hg 3.19

Symmetry: P6_3/m, No. 176
Energy of formation from the pure elements: -0.363 eV per atom
Size of the total moment: 0.0 μB per formula unit
V: 26.0 Å³ per atom